Record 1
DFT (PBE-GGA) results for TbEr8Cd2 after structural relaxation.

Summary:
For the total moment, the calculation gives 0.0 μB/cell. As for the energy relative to the elements: 42 meV/atom. The density of states at the Fermi level is 1.293 states/eV/atom.

The structure in CIF format:
```
data_TbEr8Cd2
_chemical_formula_sum 'Tb1 Er8 Cd2'
_symmetry_space_group_name_H-M 'P 1'
_symmetry_Int_Tables_number 1
_symmetry_space_group_name_Hall 'P 1'
_cell_length_a 8.648
_cell_length_b 8.648
_cell_length_c 5.509
_cell_angle_alpha 101.00
_cell_angle_beta 101.00
_cell_angle_gamma 119.46
loop_
_atom_site_label
_atom_site_type_symbol
_atom_site_fract_x
_atom_site_fract_y
_atom_site_fract_z
Tb1 Tb 0.000 0.000 0.000
Er1 Er 0.094 0.320 0.615
Er2 Er 0.220 0.780 0.000
Er3 Er 0.320 0.094 0.615
Er4 Er 0.399 0.399 0.202
Er5 Er 0.601 0.601 0.798
Er6 Er 0.680 0.906 0.385
Er7 Er 0.780 0.220 0.000
Er8 Er 0.906 0.680 0.385
Cd1 Cd 0.306 0.694 0.500
Cd2 Cd 0.694 0.306 0.500
```



Record 2
DFT (PBE-GGA) results for Ag2Ge2Pd after structural relaxation.

Summary:
For the total moment, the calculation gives 0.0 μB/cell. As for the energy relative to the elements: -12 meV/atom. The density of states at the Fermi level is 0.569 states/eV/atom.

The structure in CIF format:
```
data_Ag2Ge2Pd
_chemical_formula_sum 'Ag4 Ge4 Pd2'
_symmetry_space_group_name_H-M 'P 1'
_symmetry_Int_Tables_number 1
_symmetry_space_group_name_Hall 'P 1'
_cell_length_a 6.455
_cell_length_b 6.455
_cell_length_c 4.309
_cell_angle_alpha 90.00
_cell_angle_beta 90.00
_cell_angle_gamma 90.00
loop_
_atom_site_label
_atom_site_type_symbol
_atom_site_fract_x
_atom_site_fract_y
_atom_site_fract_z
Ag1 Ag 0.180 0.320 0.000
Ag2 Ag 0.320 0.820 0.000
Ag3 Ag 0.680 0.180 0.000
Ag4 Ag 0.820 0.680 0.000
Ge1 Ge 0.135 0.635 0.500
Ge2 Ge 0.365 0.135 0.500
Ge3 Ge 0.635 0.865 0.500
Ge4 Ge 0.865 0.365 0.500
Pd1 Pd 0.000 0.000 0.500
Pd2 Pd 0.500 0.500 0.500
```



Record 3
DFT (PBE-GGA) results for Co3Os after structural relaxation.

Summary:
For the total moment, the calculation gives 3.6 μB/cell. As for the energy relative to the elements: 99 meV/atom. The density of states at the Fermi level is 1.142 states/eV/atom.

The structure in CIF format:
```
data_Co3Os
_chemical_formula_sum 'Co3 Os1'
_symmetry_space_group_name_H-M 'P 1'
_symmetry_Int_Tables_number 1
_symmetry_space_group_name_Hall 'P 1'
_cell_length_a 2.570
_cell_length_b 4.088
_cell_length_c 4.451
_cell_angle_alpha 90.00
_cell_angle_beta 90.00
_cell_angle_gamma 90.00
loop_
_atom_site_label
_atom_site_type_symbol
_atom_site_fract_x
_atom_site_fract_y
_atom_site_fract_z
Co1 Co 0.000 0.000 0.000
Co2 Co 0.000 0.500 0.330
Co3 Co 0.500 0.000 0.487
Os1 Os 0.500 0.500 0.827
```



Record 4
DFT (PBE-GGA) results for Na2PmBe2O4 after structural relaxation.

Summary:
For the total moment, the calculation gives 0.5 μB/cell. The uncorrected formation energy comes out at -19.3 eV/f.u. The density of states at the Fermi level is 0.240 states/eV/atom.

The structure in CIF format:
```
data_Na2PmBe2O4
_chemical_formula_sum 'Na2 Pm1 Be2 O4'
_symmetry_space_group_name_H-M 'P 1'
_symmetry_Int_Tables_number 1
_symmetry_space_group_name_Hall 'P 1'
_cell_length_a 5.960
_cell_length_b 5.960
_cell_length_c 7.705
_cell_angle_alpha 121.68
_cell_angle_beta 121.68
_cell_angle_gamma 30.72
loop_
_atom_site_label
_atom_site_type_symbol
_atom_site_fract_x
_atom_site_fract_y
_atom_site_fract_z
Na1 Na 0.134 0.134 0.222
Na2 Na 0.866 0.866 0.778
Pm1 Pm 0.000 0.000 0.500
Be1 Be 0.330 0.330 0.107
Be2 Be 0.670 0.670 0.893
O1 O 0.234 0.234 0.855
O2 O 0.492 0.492 0.260
O3 O 0.508 0.508 0.740
O4 O 0.766 0.766 0.145
```



Record 5
DFT (PBE-GGA) results for Pm2TaSi4Pt3 after structural relaxation.

Summary:
For the total moment, the calculation gives 0.0 μB/cell. The uncorrected formation energy comes out at -9.7 eV/f.u. The density of states at the Fermi level is 0.351 states/eV/atom.

The structure in CIF format:
```
data_Pm2TaSi4Pt3
_chemical_formula_sum 'Pm2 Ta1 Si4 Pt3'
_symmetry_space_group_name_H-M 'P 1'
_symmetry_Int_Tables_number 1
_symmetry_space_group_name_Hall 'P 1'
_cell_length_a 4.221
_cell_length_b 4.221
_cell_length_c 10.294
_cell_angle_alpha 90.00
_cell_angle_beta 90.00
_cell_angle_gamma 90.00
loop_
_atom_site_label
_atom_site_type_symbol
_atom_site_fract_x
_atom_site_fract_y
_atom_site_fract_z
Pm1 Pm 0.000 0.500 0.238
Pm2 Pm 0.500 0.000 0.762
Ta1 Ta 0.000 0.000 0.500
Si1 Si 0.000 0.000 0.000
Si2 Si 0.000 0.500 0.645
Si3 Si 0.500 0.000 0.355
Si4 Si 0.500 0.500 0.000
Pt1 Pt 0.000 0.500 0.882
Pt2 Pt 0.500 0.000 0.118
Pt3 Pt 0.500 0.500 0.500
```



Record 6
DFT (PBE-GGA) results for RbNdCdTe3 after structural relaxation.

Summary:
For the total moment, the calculation gives 0.0 μB/cell. The uncorrected formation energy comes out at -6.4 eV/f.u.

The structure in CIF format:
```
data_RbNdCdTe3
_chemical_formula_sum 'Rb2 Nd2 Cd2 Te6'
_symmetry_space_group_name_H-M 'P 1'
_symmetry_Int_Tables_number 1
_symmetry_space_group_name_Hall 'P 1'
_cell_length_a 9.937
_cell_length_b 4.619
_cell_length_c 11.010
_cell_angle_alpha 90.00
_cell_angle_beta 108.19
_cell_angle_gamma 90.00
loop_
_atom_site_label
_atom_site_type_symbol
_atom_site_fract_x
_atom_site_fract_y
_atom_site_fract_z
Rb1 Rb 0.215 0.250 0.243
Rb2 Rb 0.785 0.750 0.757
Nd1 Nd 0.325 0.750 0.864
Nd2 Nd 0.675 0.250 0.136
Cd1 Cd 0.084 0.250 0.610
Cd2 Cd 0.916 0.750 0.390
Te1 Te 0.102 0.250 0.870
Te2 Te 0.222 0.750 0.541
Te3 Te 0.466 0.750 0.161
Te4 Te 0.534 0.250 0.839
Te5 Te 0.778 0.250 0.459
Te6 Te 0.898 0.750 0.130
```



Record 7
DFT (PBE-GGA) results for HfNb2P2 after structural relaxation.

Summary:
For the total moment, the calculation gives 0.0 μB/cell. As for the energy relative to the elements: -831 meV/atom. The density of states at the Fermi level is 0.633 states/eV/atom.

The structure in CIF format:
```
data_HfNb2P2
_chemical_formula_sum 'Hf2 Nb4 P4'
_symmetry_space_group_name_H-M 'P 1'
_symmetry_Int_Tables_number 1
_symmetry_space_group_name_Hall 'P 1'
_cell_length_a 6.920
_cell_length_b 6.920
_cell_length_c 3.385
_cell_angle_alpha 90.00
_cell_angle_beta 90.00
_cell_angle_gamma 90.00
loop_
_atom_site_label
_atom_site_type_symbol
_atom_site_fract_x
_atom_site_fract_y
_atom_site_fract_z
Hf1 Hf 0.000 0.000 0.000
Hf2 Hf 0.500 0.500 0.000
Nb1 Nb 0.150 0.350 0.500
Nb2 Nb 0.350 0.850 0.500
Nb3 Nb 0.650 0.150 0.500
Nb4 Nb 0.850 0.650 0.500
P1 P 0.144 0.644 0.000
P2 P 0.356 0.144 0.000
P3 P 0.644 0.856 0.000
P4 P 0.856 0.356 0.000
```



Record 8
DFT (PBE-GGA) results for MnMo2P after structural relaxation.

Summary:
For the total moment, the calculation gives 2.1 μB/cell. As for the energy relative to the elements: -24 meV/atom. The density of states at the Fermi level is 0.757 states/eV/atom.

The structure in CIF format:
```
data_MnMo2P
_chemical_formula_sum 'Mn1 Mo2 P1'
_symmetry_space_group_name_H-M 'P 1'
_symmetry_Int_Tables_number 1
_symmetry_space_group_name_Hall 'P 1'
_cell_length_a 2.977
_cell_length_b 3.371
_cell_length_c 5.797
_cell_angle_alpha 90.00
_cell_angle_beta 100.02
_cell_angle_gamma 90.00
loop_
_atom_site_label
_atom_site_type_symbol
_atom_site_fract_x
_atom_site_fract_y
_atom_site_fract_z
Mn1 Mn 0.000 0.000 0.000
Mo1 Mo 0.406 0.500 0.736
Mo2 Mo 0.594 0.500 0.264
P1 P 0.000 0.000 0.500
```



Record 9
DFT (PBE-GGA) results for K3MgTl8 after structural relaxation.

Summary:
For the total moment, the calculation gives 0.0 μB/cell. As for the energy relative to the elements: -31 meV/atom. The density of states at the Fermi level is 0.405 states/eV/atom.

The structure in CIF format:
```
data_K3MgTl8
_chemical_formula_sum 'K3 Mg1 Tl8'
_symmetry_space_group_name_H-M 'P 1'
_symmetry_Int_Tables_number 1
_symmetry_space_group_name_Hall 'P 1'
_cell_length_a 11.402
_cell_length_b 11.402
_cell_length_c 11.402
_cell_angle_alpha 33.91
_cell_angle_beta 33.91
_cell_angle_gamma 33.91
loop_
_atom_site_label
_atom_site_type_symbol
_atom_site_fract_x
_atom_site_fract_y
_atom_site_fract_z
K1 K 0.000 0.000 0.000
K2 K 0.125 0.125 0.125
K3 K 0.619 0.619 0.619
Mg1 Mg 0.488 0.488 0.488
Tl1 Tl 0.059 0.059 0.559
Tl2 Tl 0.059 0.559 0.059
Tl3 Tl 0.065 0.563 0.563
Tl4 Tl 0.313 0.313 0.313
Tl5 Tl 0.559 0.059 0.059
Tl6 Tl 0.563 0.065 0.563
Tl7 Tl 0.563 0.563 0.065
Tl8 Tl 0.811 0.811 0.811
```



Record 10
DFT (PBE-GGA) results for Pm2Sm12Sc after structural relaxation.

Summary:
For the total moment, the calculation gives 0.0 μB/cell. As for the energy relative to the elements: 163 meV/atom. The density of states at the Fermi level is 1.457 states/eV/atom.

The structure in CIF format:
```
data_Pm2Sm12Sc
_chemical_formula_sum 'Pm4 Sm24 Sc2'
_symmetry_space_group_name_H-M 'P 1'
_symmetry_Int_Tables_number 1
_symmetry_space_group_name_Hall 'P 1'
_cell_length_a 6.772
_cell_length_b 6.772
_cell_length_c 24.772
_cell_angle_alpha 90.00
_cell_angle_beta 90.00
_cell_angle_gamma 116.10
loop_
_atom_site_label
_atom_site_type_symbol
_atom_site_fract_x
_atom_site_fract_y
_atom_site_fract_z
Pm1 Pm 0.250 0.750 0.237
Pm2 Pm 0.250 0.750 0.770
Pm3 Pm 0.750 0.250 0.230
Pm4 Pm 0.750 0.250 0.763
Sm1 Sm 0.001 0.501 0.623
Sm2 Sm 0.001 0.999 0.428
Sm3 Sm 0.019 0.519 0.084
Sm4 Sm 0.024 0.976 0.940
Sm5 Sm 0.250 0.250 0.175
Sm6 Sm 0.250 0.250 0.304
Sm7 Sm 0.250 0.250 0.696
Sm8 Sm 0.250 0.250 0.825
Sm9 Sm 0.476 0.524 0.940
Sm10 Sm 0.481 0.981 0.084
Sm11 Sm 0.499 0.501 0.428
Sm12 Sm 0.499 0.999 0.623
Sm13 Sm 0.501 0.001 0.377
Sm14 Sm 0.501 0.499 0.572
Sm15 Sm 0.519 0.019 0.916
Sm16 Sm 0.524 0.476 0.060
Sm17 Sm 0.750 0.750 0.175
Sm18 Sm 0.750 0.750 0.304
Sm19 Sm 0.750 0.750 0.696
Sm20 Sm 0.750 0.750 0.825
Sm21 Sm 0.976 0.024 0.060
Sm22 Sm 0.981 0.481 0.916
Sm23 Sm 0.999 0.001 0.572
Sm24 Sm 0.999 0.499 0.377
Sc1 Sc 0.250 0.750 0.500
Sc2 Sc 0.750 0.250 0.500
```



Record 11
DFT (PBE-GGA) results for BIr2Pt after structural relaxation.

Summary:
For the total moment, the calculation gives 0.0 μB/cell. As for the energy relative to the elements: 212 meV/atom. The density of states at the Fermi level is 0.995 states/eV/atom.

The structure in CIF format:
```
data_BIr2Pt
_chemical_formula_sum 'B1 Ir2 Pt1'
_symmetry_space_group_name_H-M 'P 1'
_symmetry_Int_Tables_number 1
_symmetry_space_group_name_Hall 'P 1'
_cell_length_a 6.113
_cell_length_b 6.113
_cell_length_c 6.113
_cell_angle_alpha 31.81
_cell_angle_beta 31.81
_cell_angle_gamma 31.81
loop_
_atom_site_label
_atom_site_type_symbol
_atom_site_fract_x
_atom_site_fract_y
_atom_site_fract_z
B1 B 0.000 0.000 0.000
Ir1 Ir 0.279 0.279 0.279
Ir2 Ir 0.721 0.721 0.721
Pt1 Pt 0.500 0.500 0.500
```